No. 1
Below is a relaxed Sc2SiMo crystal, with properties calculated at the PBEsol level.

The structure in extended XYZ format:
```
4
Lattice="2.946 0.000 0.000 1.473 2.551 0.000 1.473 0.850 9.549" Properties=species:S:1:pos:R:3 pbc="T T T"
Mo 0.000 0.000 0.000
Sc 1.473 0.850 6.942
Si 2.946 1.701 4.775
Sc 4.418 2.551 2.607
```

Values from the calculation:
Space group   R-3m (166)


No. 2
Below is a relaxed Sc2Si2Mo crystal, with properties calculated at the PBEsol level.

The structure in extended XYZ format:
```
10
Lattice="-0.811 -2.457 -2.746 -0.445 -4.877 4.496 -6.477 1.290 0.759" Properties=species:S:1:pos:R:3 pbc="T T T"
Sc -6.041 -3.465 2.293
Sc -4.865 -1.216 -0.067
Si -2.464 -0.146 0.859
Mo 0.000 0.000 0.000
Si -1.111 -2.899 2.922
Si -4.457 -3.440 4.396
Mo -3.461 -1.793 2.627
Sc -1.692 -2.580 0.216
Sc -2.868 -4.828 2.575
Si -5.811 -0.688 2.333
```

Values from the calculation:
Space group   P4/mbm (127)


No. 3
Below is a relaxed Sc2SiMo crystal, with properties calculated at the PBEsol level.

The structure in extended XYZ format:
```
4
Lattice="3.050 0.000 0.000 1.525 2.641 0.000 1.525 0.880 8.862" Properties=species:S:1:pos:R:3 pbc="T T T"
Si 3.050 1.761 4.431
Sc 4.575 2.641 6.614
Sc 1.525 0.880 2.248
Mo 0.000 0.000 0.000
```

Values from the calculation:
Space group   R-3m (166)


No. 4
Below is a relaxed Sc2TaMo crystal, with properties calculated at the PBEsol level.

The structure in extended XYZ format:
```
4
Lattice="3.362 0.000 0.000 0.000 4.899 0.000 -1.681 -2.449 4.669" Properties=species:S:1:pos:R:3 pbc="T T T"
Ta 1.681 2.449 0.313
Mo 0.000 2.449 2.163
Sc 1.681 0.000 2.402
Sc 1.681 2.449 4.458
```

Values from the calculation:
Space group   Imm2 (44)
Relative energy among the computed polymorphs   0.0 kJ per mole of atoms
Energy relative to the elements   0.10 eV per atom


No. 5
Below is a relaxed Sc2TaMo crystal, with properties calculated at the PBEsol level.

The structure in extended XYZ format:
```
4
Lattice="3.934 0.000 0.000 0.000 3.934 0.000 0.000 0.000 4.776" Properties=species:S:1:pos:R:3 pbc="T T T"
Mo 0.000 0.000 2.388
Sc 1.967 0.000 0.000
Ta 1.967 1.967 2.388
Sc 0.000 1.967 0.000
```

Values from the calculation:
Space group   P4/mmm (123)
Relative energy among the computed polymorphs   11.2 kJ per mole of atoms
Energy relative to the elements   0.22 eV per atom


No. 6
Below is a relaxed Sc4TaMo crystal, with properties calculated at the PBEsol level.

The structure in extended XYZ format:
```
6
Lattice="-0.355 -1.084 -5.360 3.823 -3.084 -2.431 -1.234 -5.063 -1.695" Properties=species:S:1:pos:R:3 pbc="T T T"
Sc 2.747 -5.003 -4.773
Mo 0.000 0.000 0.000
Sc 0.222 -5.992 -4.406
Sc 0.838 -3.463 -3.559
Sc 0.660 -4.005 -6.236
Ta 1.675 -6.924 -7.115
```

Values from the calculation:
Space group   F-43m (216)
Energy relative to the elements   0.70 eV per atom


No. 7
Below is a relaxed ScTcMo crystal, with properties calculated at the PBEsol level.

The structure in extended XYZ format:
```
3
Lattice="-1.520 2.698 0.307 -0.855 -0.141 -2.989 -2.975 -3.773 2.649" Properties=species:S:1:pos:R:3 pbc="T T T"
Mo -5.215 -1.135 -0.075
Sc -2.597 0.434 -0.898
Tc -2.887 -1.730 0.907
```

Values from the calculation:
Space group   I4mm (107)
Relative energy among the computed polymorphs   0.4 kJ per mole of atoms
Energy relative to the elements   -0.15 eV per atom


No. 8
Below is a relaxed ScTc2Mo crystal, with properties calculated at the PBEsol level.

The structure in extended XYZ format:
```
4
Lattice="-1.055 -2.016 2.125 2.505 0.550 1.765 -3.114 4.732 2.945" Properties=species:S:1:pos:R:3 pbc="T T T"
Tc -2.390 3.633 2.261
Tc -0.723 1.099 0.684
Mo 0.725 -0.733 1.945
Sc -0.832 1.633 3.417
```

Values from the calculation:
Space group   P4/mmm (123)
Relative energy among the computed polymorphs   0.1 kJ per mole of atoms
Energy relative to the elements   -0.15 eV per atom


Calculated values (A^3/atom) of volume for the records, taken in order: 17.9, 16.7, 17.8, 19.2, 18.5, 19.4, 16.2, 15.5.
Calculated values (eV for the cell shown) of final energy for the records, taken in order: -29.8, -80.1, -30.7, -37.1, -36.7, -46.5, -30.1, -41.5.
Calculated values (states/eV/atom) of D(E_F) for the records, taken in order: 0.610, 0.596, 1.094, 0.918, 1.264, 1.676, 0.722, 0.843.